Entry 1:
Compound: SnBiI2
Source: Alexandria
Functional: PBE
Structure: optimized geometry

Summary:
size of the total moment = 0.00 μB per formula unit
formation energy without anion corrections = 0.10 eV/atom
VASP energy = -42.3 eV per cell

Unit cell a=8.9560 b=8.9560 c=7.3750 alpha=90.00 beta=90.00 gamma=90.00
Space group I-42d (No. 122)
Unique sites:
1 Sn 0.0000 0.0000 0.0000 (multiplicity 4)
2 Bi 0.0000 0.0000 0.5000 (multiplicity 4)
3 I 0.2452 0.2500 0.1250 (multiplicity 8)


Entry 2:
Compound: CrTeI2N
Source: Alexandria
Functional: PBE
Structure: optimized geometry

Summary:
size of the total moment = 4.96 μB per formula unit
formation energy without anion corrections = 0.93 eV/atom
VASP energy = -19.5 eV per cell

Unit cell a=6.2196 b=6.2196 c=3.9957 alpha=90.00 beta=90.00 gamma=90.00
Space group P4/mmm (No. 123)
Unique sites:
1 Cr 0.0000 0.0000 0.0000 (multiplicity 1)
2 Te 0.5000 0.5000 0.5000 (multiplicity 1)
3 I 0.0000 0.5000 0.5000 (multiplicity 2)
4 N 0.5000 0.5000 0.0000 (multiplicity 1)


Entry 3:
Compound: Cd2BiB
Source: Alexandria
Functional: PBE
Structure: optimized geometry

Summary:
size of the total moment = 0.00 μB per formula unit
ΔH_f (0 K) = 0.719 eV per atom
VASP energy = -38.0 eV per cell

Unit cell a=8.0902 b=8.0902 c=5.3939 alpha=90.00 beta=90.00 gamma=90.00
Space group I-42d (No. 122)
Unique sites:
1 Cd 0.1493 0.2500 0.1250 (multiplicity 8)
2 Bi 0.0000 0.0000 0.5000 (multiplicity 4)
3 B 0.0000 0.0000 0.0000 (multiplicity 4)


| no. | DOS(E_F) (states/eV/f.u.) |
| --- | --- |
| 1 | 2.7 |
| 2 | 3.3 |
| 3 | 2.1 |